No. 1
The following is a DFT calculation (PBE) of a relaxed Re4Se8Br crystal.

Output
The density of states at the Fermi level is 30.48 states/eV per cell. As for the crystal system: trigonal. The value obtained for the size of the total moment is 0.00 μB/cell. As for the total energy: -6.16 eV/atom.

Structure (CIF):
```
data_Re4Se8Br
_chemical_formula_sum 'Re12 Se24 Br3'
_space_group_name_H-M_alt 'R -3 m'
_space_group_IT_number 166
_space_group_name_Hall '-R 3 2"'
_cell_length_a 6.3681
_cell_length_b 6.3681
_cell_length_c 26.9058
_cell_angle_alpha 90.00
_cell_angle_beta 90.00
_cell_angle_gamma 120.00
loop_
_atom_site_label
_atom_site_type_symbol
_atom_site_fract_x
_atom_site_fract_y
_atom_site_fract_z
_atom_site_occupancy
Re1 Re 0.0000 0.0000 0.0000 1
Re2 Re 0.0000 0.5000 0.0000 1
Se1 Se 0.0000 0.0000 0.2666 1
Se2 Se 0.0030 0.5015 0.7325 1
Br1 Br 0.0000 0.0000 0.5000 1
```

---

No. 2
The following is a DFT calculation (PBE) of a relaxed Re2SeBr8 crystal.

Output
The density of states at the Fermi level is 15.48 states/eV per cell. As for the crystal system: monoclinic. The value obtained for the size of the total moment is 1.37 μB/cell. As for the total energy: -3.98 eV/atom.

Structure (CIF):
```
data_Re2SeBr8
_chemical_formula_sum 'Re4 Se2 Br16'
_space_group_name_H-M_alt 'C 1 2/m 1'
_space_group_IT_number 12
_cell_length_a 8.557
_cell_length_b 11.603
_cell_length_c 7.904
_cell_angle_alpha 90.00
_cell_angle_beta 90.17
_cell_angle_gamma 90.00
loop_
_space_group_symop_operation_xyz
'x,y,z'
'-x,-y,-z'
'-x,y,-z'
'x,-y,z'
'x+1/2,y+1/2,z'
'-x+1/2,-y+1/2,-z'
'-x+1/2,y+1/2,-z'
'x+1/2,-y+1/2,z'
loop_
_atom_site_label
_atom_site_type_symbol
_atom_site_fract_x
_atom_site_fract_y
_atom_site_fract_z
_atom_site_occupancy
Re1 Re 0.097 0.000 0.268 1
Se1 Se 0.000 0.000 0.000 1
Br1 Br 0.090 0.211 0.302 1
Br2 Br 0.123 0.500 0.794 1
Br3 Br 0.182 0.000 0.593 1
```

---

No. 3
The following is a DFT calculation (PBE) of a relaxed ReSe4Br crystal.

Output
The density of states at the Fermi level is 14.33 states/eV per cell. For the offset from the most stable computed form, the calculation gives 1.318 eV per atom. As for the crystal system: cubic. The value obtained for the size of the total moment is 16.92 μB/cell.

Structure (CIF):
```
data_ReSe4Br
_chemical_formula_sum 'Re4 Se16 Br4'
_space_group_name_H-M_alt 'F -4 3 m'
_space_group_IT_number 216
_space_group_name_Hall 'F -4 2 3'
_cell_length_a 8.072
_cell_length_b 8.072
_cell_length_c 8.072
_cell_angle_alpha 90.00
_cell_angle_beta 90.00
_cell_angle_gamma 90.00
loop_
_atom_site_label
_atom_site_type_symbol
_atom_site_fract_x
_atom_site_fract_y
_atom_site_fract_z
_atom_site_occupancy
Re1 Re 0.000 0.000 0.000 1
Se1 Se 0.127 0.127 0.627 1
Br1 Br 0.250 0.250 0.250 1
```

---

No. 4
The following is a DFT calculation (PBE) of a relaxed ReSe3Br crystal.

Output
The density of states at the Fermi level is 4.47 states/eV per cell. For the offset from the most stable computed form, the calculation gives 0.398 eV per atom. As for the crystal system: cubic. The value obtained for the size of the total moment is 0.00 μB/cell.

Structure (CIF):
```
data_ReSe3Br
_chemical_formula_sum 'Re1 Se3 Br1'
_space_group_name_H-M_alt 'P m -3 m'
_space_group_IT_number 221
_space_group_name_Hall '-P 4 2 3'
_cell_length_a 4.901
_cell_length_b 4.901
_cell_length_c 4.901
_cell_angle_alpha 90.00
_cell_angle_beta 90.00
_cell_angle_gamma 90.00
loop_
_atom_site_label
_atom_site_type_symbol
_atom_site_fract_x
_atom_site_fract_y
_atom_site_fract_z
_atom_site_occupancy
Re1 Re 0.000 0.000 0.000 1
Se1 Se 0.000 0.000 0.500 1
Br1 Br 0.500 0.500 0.500 1
```

---

No. 5
The following is a DFT calculation (PBE) of a relaxed ReSiSeBr2 crystal.

Output
The density of states at the Fermi level is 1.50 states/eV per cell. For the offset from the most stable computed form, the calculation gives 0.273 eV per atom. As for the crystal system: tetragonal. The value obtained for the size of the total moment is 5.47 μB/cell.

Structure (CIF):
```
data_ReSiSeBr2
_chemical_formula_sum 'Re1 Si1 Se1 Br2'
_space_group_name_H-M_alt 'P 4/m m m'
_space_group_IT_number 123
_space_group_name_Hall '-P 4 2'
_cell_length_a 5.083
_cell_length_b 5.083
_cell_length_c 5.070
_cell_angle_alpha 90.00
_cell_angle_beta 90.00
_cell_angle_gamma 90.00
loop_
_atom_site_label
_atom_site_type_symbol
_atom_site_fract_x
_atom_site_fract_y
_atom_site_fract_z
_atom_site_occupancy
Re1 Re 0.000 0.000 0.000 1
Si1 Si 0.500 0.500 0.500 1
Se1 Se 0.500 0.500 0.000 1
Br1 Br 0.000 0.500 0.500 1
```

---

No. 6
The following is a DFT calculation (PBE) of a relaxed ReSiSeBr2 crystal.

Output
The density of states at the Fermi level is 5.68 states/eV per cell. For the offset from the most stable computed form, the calculation gives 0.000 eV per atom. As for the crystal system: tetragonal. The value obtained for the size of the total moment is 1.65 μB/cell.

Structure (CIF):
```
data_ReSiSeBr2
_chemical_formula_sum 'Re1 Si1 Se1 Br2'
_space_group_name_H-M_alt 'P 4/m m m'
_space_group_IT_number 123
_space_group_name_Hall '-P 4 2'
_cell_length_a 5.198
_cell_length_b 5.198
_cell_length_c 4.743
_cell_angle_alpha 90.00
_cell_angle_beta 90.00
_cell_angle_gamma 90.00
loop_
_atom_site_label
_atom_site_type_symbol
_atom_site_fract_x
_atom_site_fract_y
_atom_site_fract_z
_atom_site_occupancy
Re1 Re 0.000 0.000 0.000 1
Si1 Si 0.500 0.500 0.500 1
Se1 Se 0.000 0.000 0.500 1
Br1 Br 0.000 0.500 0.000 1
```

---

Which value of size of the total moment does entry 6 give?
1.65 μB/cell

---

What is the size of the total moment in the third record?
16.92 μB/cell

---

Which formula does entry 5 have?
ReSiSeBr2

---

size of the total moment of number 2 (Re2SeBr8)?
1.37 μB/cell